[1]
# ErTmGaPt PBE-GGA optimized geometry
data_ErTmGaPt
_chemical_formula_sum 'Er2 Tm2 Ga2 Pt2'
_cell_length_a 4.423
_cell_length_b 3.715
_cell_length_c 10.780
_cell_angle_alpha 90.00
_cell_angle_beta 90.00
_cell_angle_gamma 90.00
_space_group_name_H-M_alt 'P 1'
_space_group_IT_number 1
_space_group_name_Hall 'P 1'
loop_
_atom_site_label
_atom_site_type_symbol
_atom_site_fract_x
_atom_site_fract_y
_atom_site_fract_z
Er1 Er 0.000 0.000 0.000
Er2 Er 0.000 0.500 0.500
Tm1 Tm 0.500 0.000 0.715
Tm2 Tm 0.500 0.500 0.215
Ga1 Ga 0.000 0.000 0.279
Ga2 Ga 0.000 0.500 0.779
Pt1 Pt 0.500 0.000 0.435
Pt2 Pt 0.500 0.500 0.935
# - Fermi-level density of states: 5.2 states/eV per cell
# - Formation enthalpy at 0 K: -3.86 eV/f.u.
# - Excess energy over the best structure of this formula in the dataset: 0.0 meV/atom


[2]
# ErFeBi PBE-GGA optimized geometry
data_ErFeBi
_chemical_formula_sum 'Er2 Fe2 Bi2'
_cell_length_a 13.277
_cell_length_b 13.277
_cell_length_c 13.277
_cell_angle_alpha 15.57
_cell_angle_beta 15.57
_cell_angle_gamma 15.57
_space_group_name_H-M_alt 'P 1'
_space_group_IT_number 1
_space_group_name_Hall 'P 1'
loop_
_atom_site_label
_atom_site_type_symbol
_atom_site_fract_x
_atom_site_fract_y
_atom_site_fract_z
Er1 Er 0.104 0.104 0.104
Er2 Er 0.896 0.896 0.896
Fe1 Fe 0.179 0.179 0.179
Fe2 Fe 0.821 0.821 0.821
Bi1 Bi 0.296 0.296 0.296
Bi2 Bi 0.704 0.704 0.704
# - Fermi-level density of states: 4.1 states/eV per cell
# - Formation enthalpy at 0 K: 0.24 eV/f.u.


[3]
# ScBe3 PBE-GGA optimized geometry
data_ScBe3
_chemical_formula_sum 'Sc4 Be12'
_cell_length_a 5.695
_cell_length_b 5.695
_cell_length_c 5.695
_cell_angle_alpha 90.00
_cell_angle_beta 90.00
_cell_angle_gamma 90.00
_space_group_name_H-M_alt 'P 1'
_space_group_IT_number 1
_space_group_name_Hall 'P 1'
loop_
_atom_site_label
_atom_site_type_symbol
_atom_site_fract_x
_atom_site_fract_y
_atom_site_fract_z
Sc1 Sc 0.000 0.000 0.000
Sc2 Sc 0.000 0.500 0.500
Sc3 Sc 0.500 0.000 0.500
Sc4 Sc 0.500 0.500 0.000
Be1 Be 0.000 0.000 0.500
Be2 Be 0.000 0.500 0.000
Be3 Be 0.250 0.250 0.250
Be4 Be 0.250 0.250 0.750
Be5 Be 0.250 0.750 0.250
Be6 Be 0.250 0.750 0.750
Be7 Be 0.500 0.000 0.000
Be8 Be 0.500 0.500 0.500
Be9 Be 0.750 0.250 0.250
Be10 Be 0.750 0.250 0.750
Be11 Be 0.750 0.750 0.250
Be12 Be 0.750 0.750 0.750
# - Fermi-level density of states: 5.5 states/eV per cell
# - Formation enthalpy at 0 K: 0.06 eV/f.u.
# - Excess energy over the best structure of this formula in the dataset: 149.8 meV/atom


[4]
# SiS PBE-GGA optimized geometry
data_SiS
_chemical_formula_sum 'Si6 S6'
_cell_length_a 3.332
_cell_length_b 11.548
_cell_length_c 8.466
_cell_angle_alpha 90.00
_cell_angle_beta 90.00
_cell_angle_gamma 90.00
_space_group_name_H-M_alt 'P 1'
_space_group_IT_number 1
_space_group_name_Hall 'P 1'
loop_
_atom_site_label
_atom_site_type_symbol
_atom_site_fract_x
_atom_site_fract_y
_atom_site_fract_z
Si1 Si 0.250 0.139 0.058
Si2 Si 0.250 0.361 0.058
Si3 Si 0.250 0.750 0.611
Si4 Si 0.750 0.250 0.389
Si5 Si 0.750 0.639 0.942
Si6 Si 0.750 0.861 0.942
S1 S 0.250 0.250 0.551
S2 S 0.250 0.598 0.761
S3 S 0.250 0.902 0.761
S4 S 0.750 0.098 0.239
S5 S 0.750 0.402 0.239
S6 S 0.750 0.750 0.449
# - Formation energy without anion corrections: -0.293 eV per formula unit